{"formula": "InWOF2", "functional": "GGA+U", "state": "optimized geometry", "cell": [[4.3137, 0.0000, 0.0000], [0.0000, 4.3137, 0.0000], [0.0000, 0.0000, 4.2664]], "species": ["In", "W", "O", "F", "F"], "frac_coords": [[0.0000, 0.0000, 0.0000], [0.5000, 0.5000, 0.5000], [0.5000, 0.5000, 0.0000], [0.0000, 0.5000, 0.5000], [0.5000, 0.0000, 0.5000]], "crystal_system": "tetragonal", "final_energy_ev_per_cell": -27.0}